1.
The following is a GGA-PBE calculation of a relaxed structure of ZrTaAs2Se, from Alexandria via LeMat-Bulk.

The value obtained for the uncorrected formation energy is 0.8583 eV/atom.

It has space group P4/mmm (No. 123), with a = 5.098 Å, b = 5.098 Å, c = 4.992 Å, α = 90.00°, β = 90.00° and γ = 90.00°. The asymmetric unit holds Zr at (0.000, 0.000, 0.000), Ta at (0.500, 0.500, 0.500), As at (0.000, 0.500, 0.000) and Se at (0.000, 0.000, 0.500).


2.
The following is a GGA-PBE calculation of a relaxed structure of ZrTaAs2Se, from Alexandria via LeMat-Bulk.

The value obtained for the uncorrected formation energy is 0.2421 eV/atom.

It has space group P4/mmm (No. 123), with a = 4.964 Å, b = 4.964 Å, c = 4.952 Å, α = 90.00°, β = 90.00° and γ = 90.00°. The asymmetric unit holds Zr at (0.000, 0.000, 0.000), Ta at (0.500, 0.500, 0.500), As at (0.000, 0.500, 0.500) and Se at (0.500, 0.500, 0.000).


3.
The following is a GGA-PBE calculation of a relaxed structure of TbAsSe, from Alexandria via LeMat-Bulk.

The value obtained for the uncorrected formation energy is -1.0165 eV/atom.

It has space group Cmce (No. 64), with a = 7.566 Å, b = 10.952 Å, c = 7.576 Å, α = 90.00°, β = 90.00° and γ = 90.00°. The asymmetric unit holds Tb at (0.250, 0.001, 0.250), As at (0.000, 0.123, 0.501) and Se at (0.000, 0.134, 0.000).


4.
The following is a GGA-PBE calculation of a relaxed structure of TbAsSe, from Alexandria via LeMat-Bulk.

The value obtained for the uncorrected formation energy is -1.4166 eV/atom.

It has space group I4/mmm (No. 139), with a = 3.923 Å, b = 3.923 Å, c = 17.714 Å, α = 90.00°, β = 90.00° and γ = 90.00°. The asymmetric unit holds Tb at (0.000, 0.000, 0.139), As at (0.000, 0.500, 0.000) and Se at (0.000, 0.000, 0.312).


5.
The following is a GGA-PBE calculation of a relaxed structure of TbAsSe, from Alexandria via LeMat-Bulk.

The value obtained for the uncorrected formation energy is -1.4276 eV/atom.

It has space group Pnma (No. 62), with a = 7.277 Å, b = 3.900 Å, c = 9.669 Å, α = 90.00°, β = 90.00° and γ = 90.00°. The asymmetric unit holds Tb at (0.215, 0.250, 0.160), As at (0.101, 0.250, 0.459) and Se at (0.088, 0.250, 0.846).


6.
The following is a GGA-PBE calculation of a relaxed structure of Tb3As2Se, from Alexandria via LeMat-Bulk.

The value obtained for the uncorrected formation energy is -1.6833 eV/atom.

It has space group Immm (No. 71), with a = 4.129 Å, b = 5.839 Å, c = 12.365 Å, α = 90.00°, β = 90.00° and γ = 90.00°. The asymmetric unit holds Tb at (0.000, 0.000, 0.000), Tb at (0.000, 0.000, 0.328), As at (0.000, 0.500, 0.335) and Se at (0.000, 0.500, 0.000).


Calculated calculated density, 6.41; 6.82; 6.62; 7.62; 7.57; 7.86 Mg/m³ (same order as the records).
Calculated Fermi-level density of states, 7.07; 4.64; 13.08; 5.10; 0.00; 3.28 states/eV per cell (same order as the records).
Calculated total moment, 0.000; 1.326; 0.000; 0.000; 0.000; 0.000 μB/f.u. (same order as the records).